1.
# Nd5Si2Te

A relaxed structure of Nd5Si2Te (GGA-PBE, Alexandria via LeMat-Bulk).

a b c (Å): 7.9115 7.9115 9.0966
angles (deg): 115.78 115.78 90.00
Last column: magnetic moment on the atom in μB.
Fractional coordinates of all 16 atoms:
Nd 0.5000 0.5000 0.0000  0.36
Nd 0.6940 0.1940 0.7224  0.16
Nd 0.5285 0.6940 0.7224  0.16
Nd 0.0000 0.0000 0.0000  0.36
Nd 0.0285 0.5285 0.7224  0.16
Nd 0.3060 0.8060 0.2776  0.16
Nd 0.9715 0.4715 0.2776  0.16
Nd 0.4715 0.3060 0.2776  0.16
Nd 0.1940 0.0285 0.7224  0.16
Nd 0.8060 0.9715 0.2776  0.16
Te 0.2500 0.2500 0.5000  -0.01
Te 0.7500 0.7500 0.5000  -0.01
Si 0.6246 0.1246 0.0000  -0.02
Si 0.3754 0.8754 0.0000  -0.02
Si 0.8754 0.6246 0.0000  -0.02
Si 0.1246 0.3754 0.0000  -0.02

Properties
Its space group is I4/mcm, No. 140. For the uncorrected formation energy, the calculation gives -0.7466 eV/atom.

2.
# Nd6SiTe5

A relaxed structure of Nd6SiTe5 (GGA-PBE, Alexandria via LeMat-Bulk).

a b c (Å): 7.7631 7.7561 7.7423
angles (deg): 59.94 80.44 70.63
Fractional coordinates of all 12 atoms:
Nd 0.7681 0.0766 0.3077
Nd 0.2319 0.9234 0.6923
Nd 0.7640 0.7728 0.0000
Nd 0.2319 0.6157 0.3077
Nd 0.2360 0.2272 0.0000
Nd 0.7681 0.3843 0.6923
Te 0.5000 0.8260 0.3480
Te 0.0000 0.6652 0.6697
Te 0.0000 0.3348 0.3303
Te 0.5000 0.5000 0.0000
Te 0.5000 0.1740 0.6520
Si 0.0000 0.0000 0.0000

Properties
Its space group is C2/m, No. 12. For the uncorrected formation energy, the calculation gives -1.3770 eV/atom.

3.
# Nd6SiTe3

A relaxed structure of Nd6SiTe3 (GGA-PBE, Alexandria via LeMat-Bulk).

a b c (Å): 4.2098 12.4155 12.8228
angles (deg): 104.68 90.00 90.00
Last column: magnetic moment on the atom in μB.
Fractional coordinates of all 20 atoms:
Te 0.7500 0.3920 0.8506  0.00
Te 0.7500 0.1552 0.0489  0.00
Te 0.7500 0.6803 0.5075  0.00
Te 0.2500 0.6080 0.1494  0.00
Te 0.2500 0.3197 0.4925  0.00
Te 0.2500 0.8448 0.9511  0.00
Nd 0.7500 0.7974 0.7601  0.12
Nd 0.7500 0.1043 0.4518  0.06
Nd 0.2500 0.5111 0.3596  0.01
Nd 0.2500 0.5874 0.8963  0.01
Nd 0.7500 0.7681 0.2975  0.01
Nd 0.2500 0.2319 0.7025  0.01
Nd 0.7500 0.4126 0.1037  0.01
Nd 0.7500 0.4889 0.6404  0.01
Nd 0.2500 0.8957 0.5482  0.06
Nd 0.7500 0.9448 0.1346  0.03
Nd 0.2500 0.0552 0.8654  0.03
Nd 0.2500 0.2026 0.2399  0.12
Si 0.2500 0.9571 0.3163  0.00
Si 0.7500 0.0429 0.6837  0.00

Properties
Its space group is P2_1/m, No. 11. For the uncorrected formation energy, the calculation gives -0.9287 eV/atom.

4.
# Nd4Si2Te

A relaxed structure of Nd4Si2Te (GGA-PBE, Alexandria via LeMat-Bulk).

a b c (Å): 8.9551 8.9551 8.9530
angles (deg): 119.97 119.97 90.06
Fractional coordinates of all 14 atoms:
Si 0.6250 0.8750 0.2500
Si 0.6250 0.3750 0.7500
Si 0.1250 0.3750 0.7500
Si 0.6250 0.3750 0.2500
Te 0.2500 0.7500 0.5000
Te 0.0000 0.0000 0.0000
Nd 0.3928 0.6071 0.2146
Nd 0.8572 0.1429 0.2854
Nd 0.8217 0.6075 0.2145
Nd 0.8571 0.1428 0.7145
Nd 0.3929 0.6072 0.7855
Nd 0.3925 0.1782 0.7855
Nd 0.4282 0.1425 0.2855
Nd 0.8575 0.5718 0.7145

Properties
Its space group is I4_1/amd, No. 141. For the uncorrected formation energy, the calculation gives -0.6768 eV/atom.

5.
# Nd3Si5Te12

A relaxed structure of Nd3Si5Te12 (GGA-PBE, Alexandria via LeMat-Bulk).

a b c (Å): 14.9196 14.9196 14.9196
angles (deg): 109.47 109.47 109.47
Fractional coordinates of all 80 atoms:
Te 0.7897 0.3212 0.9133
Te 0.1236 0.7103 0.5315
Te 0.4133 0.2897 0.3212
Te 0.4685 0.7897 0.8764
Te 0.8764 0.2897 0.4685
Te 0.5921 0.9685 0.6788
Te 0.7897 0.4685 0.3764
Te 0.5315 0.3212 0.9079
Te 0.9079 0.0867 0.8764
Te 0.3212 0.5315 0.4079
Te 0.4685 0.6788 0.0921
Te 0.4133 0.1236 0.5921
Te 0.2897 0.8764 0.9685
Te 0.9133 0.0921 0.6236
Te 0.1236 0.4133 0.0921
Te 0.0867 0.9079 0.3764
Te 0.2897 0.4133 0.8212
Te 0.0921 0.9133 0.1236
Te 0.0315 0.4079 0.8212
Te 0.2103 0.6788 0.0867
Te 0.5867 0.7103 0.6788
Te 0.6788 0.2103 0.5867
Te 0.5315 0.2103 0.1236
Te 0.8764 0.5867 0.9079
Te 0.3764 0.9685 0.7897
Te 0.9133 0.8212 0.7897
Te 0.9079 0.8212 0.5315
Te 0.6788 0.4685 0.5921
Te 0.4079 0.0315 0.3212
Te 0.2103 0.5315 0.6236
Te 0.9685 0.3764 0.2897
Te 0.7103 0.1236 0.0315
Te 0.1788 0.0921 0.9685
Te 0.8212 0.9079 0.0315
Te 0.1788 0.0867 0.7103
Te 0.7103 0.5867 0.1788
Te 0.4079 0.3764 0.5867
Te 0.0867 0.1788 0.2103
Te 0.3212 0.7897 0.4133
Te 0.8212 0.9133 0.2897
Te 0.0315 0.6236 0.7103
Te 0.9685 0.5921 0.1788
Te 0.5867 0.8764 0.4079
Te 0.5921 0.6236 0.4133
Te 0.6236 0.0315 0.2103
Te 0.6236 0.5921 0.9133
Te 0.0921 0.1788 0.4685
Te 0.3764 0.4079 0.0867
Si 0.3750 0.1250 0.7500
Si 0.0000 0.5000 0.5000
Si 0.0000 0.0000 0.0000
Si 0.3750 0.2500 0.1250
Si 0.6250 0.8750 0.2500
Si 0.2500 0.8750 0.1250
Si 0.0000 0.5000 0.0000
Si 0.2500 0.3750 0.6250
Si 0.5000 0.0000 0.0000
Si 0.6250 0.7500 0.8750
Si 0.7500 0.1250 0.8750
Si 0.5000 0.0000 0.5000
Si 0.1250 0.7500 0.3750
Si 0.5000 0.5000 0.5000
Si 0.5000 0.5000 0.0000
Si 0.8750 0.6250 0.7500
Si 0.7500 0.6250 0.3750
Si 0.1250 0.3750 0.2500
Si 0.0000 0.0000 0.5000
Si 0.8750 0.2500 0.6250
Nd 0.3750 0.7500 0.6250
Nd 0.2500 0.6250 0.8750
Nd 0.6250 0.2500 0.3750
Nd 0.8750 0.7500 0.1250
Nd 0.2500 0.1250 0.3750
Nd 0.7500 0.3750 0.1250
Nd 0.3750 0.6250 0.2500
Nd 0.8750 0.1250 0.2500
Nd 0.1250 0.2500 0.8750
Nd 0.7500 0.8750 0.6250
Nd 0.1250 0.8750 0.7500
Nd 0.6250 0.3750 0.7500

Properties
Its space group is Ia-3d, No. 230. For the uncorrected formation energy, the calculation gives -0.4570 eV/atom.

6.
# NdSi2Te6

A relaxed structure of NdSi2Te6 (GGA-PBE, Alexandria via LeMat-Bulk).

a b c (Å): 7.2180 9.3458 9.3458
angles (deg): 81.19 75.71 75.71
Fractional coordinates of all 18 atoms:
Te 0.4866 0.7519 0.5327
Te 0.5134 0.2481 0.4673
Te 0.8251 0.1670 0.0484
Te 0.0134 0.4673 0.2481
Te 0.9971 0.1441 0.5992
Te 0.1749 0.8330 0.9516
Te 0.9866 0.5327 0.7519
Te 0.5029 0.4008 0.8559
Te 0.4971 0.5992 0.1441
Te 0.0029 0.8559 0.4008
Te 0.6749 0.9516 0.8330
Te 0.3251 0.0484 0.1670
Nd 0.7500 0.8292 0.1708
Nd 0.2500 0.1708 0.8292
Si 0.2773 0.6330 0.7695
Si 0.7773 0.7695 0.6330
Si 0.7227 0.3670 0.2305
Si 0.2227 0.2305 0.3670

Properties
Its space group is C2/c, No. 15. For the uncorrected formation energy, the calculation gives -0.3144 eV/atom.

7.
# Nd2ThSi2

A relaxed structure of Nd2ThSi2 (GGA-PBE, Alexandria via LeMat-Bulk).

a b c (Å): 4.2051 7.8285 7.8285
angles (deg): 90.00 90.00 90.00
Fractional coordinates of all 10 atoms:
Nd 0.5000 0.3231 0.1769
Nd 0.5000 0.6769 0.8231
Nd 0.5000 0.8231 0.3231
Nd 0.5000 0.1769 0.6769
Si 0.0000 0.6131 0.1131
Si 0.0000 0.1131 0.3869
Si 0.0000 0.8869 0.6131
Si 0.0000 0.3869 0.8869
Th 0.0000 0.5000 0.5000
Th 0.0000 0.0000 0.0000

Properties
Its space group is P4/mbm, No. 127. For the uncorrected formation energy, the calculation gives -0.5938 eV/atom.

8.
# Nd3Th3Si4

A relaxed structure of Nd3Th3Si4 (GGA-PBE, Alexandria via LeMat-Bulk).

a b c (Å): 4.2233 7.8291 7.8291
angles (deg): 90.41 90.00 90.00
Fractional coordinates of all 10 atoms:
Si 0.0000 0.6136 0.3864
Si 0.0000 0.1110 0.1147
Si 0.0000 0.3901 0.6099
Si 0.0000 0.8853 0.8890
Nd 0.0000 0.0007 0.4982
Nd 0.0000 0.5018 0.9993
Nd 0.5000 0.1766 0.8234
Th 0.5000 0.3211 0.3203
Th 0.5000 0.6797 0.6789
Th 0.5000 0.8202 0.1798

Properties
Its space group is Amm2, No. 38. For the uncorrected formation energy, the calculation gives -0.6422 eV/atom.

9.
# NdThSi4

A relaxed structure of NdThSi4 (GGA-PBE, Alexandria via LeMat-Bulk).

a b c (Å): 4.1475 4.1475 7.7604
angles (deg): 105.50 105.50 90.00
Fractional coordinates of all 6 atoms:
Si 0.4169 0.4169 0.8338
Si 0.6665 0.1665 0.3329
Si 0.8335 0.3335 0.6671
Si 0.5831 0.5831 0.1662
Th 0.0000 0.0000 0.0000
Nd 0.2500 0.7500 0.5000

Properties
Its space group is I-4m2, No. 119. For the uncorrected formation energy, the calculation gives -0.5986 eV/atom.

10.
# Nd5ThSi4

A relaxed structure of Nd5ThSi4 (GGA-PBE, Alexandria via LeMat-Bulk).

a b c (Å): 4.4136 7.9684 9.8605
angles (deg): 114.46 102.93 90.00
Fractional coordinates of all 10 atoms:
Si 0.3145 0.8295 0.6291
Si 0.9950 0.7415 0.9899
Si 0.0050 0.2585 0.0101
Si 0.6855 0.1705 0.3709
Nd 0.8374 0.1018 0.6747
Nd 0.5000 0.5000 0.0000
Nd 0.1626 0.8982 0.3253
Nd 0.8307 0.6010 0.6613
Nd 0.1693 0.3990 0.3387
Th 0.5000 0.0000 0.0000

Properties
Its space group is C2/m, No. 12. For the uncorrected formation energy, the calculation gives -0.4314 eV/atom.

11.
# Nd2ThSi6

A relaxed structure of Nd2ThSi6 (GGA-PBE, Alexandria via LeMat-Bulk).

a b c (Å): 4.1675 7.1689 7.1689
angles (deg): 120.00 90.00 90.00
Fractional coordinates of all 9 atoms:
Si 0.5000 0.0000 0.3330
Si 0.5000 0.3330 0.3330
Si 0.5000 0.0000 0.6670
Si 0.5000 0.3330 0.0000
Si 0.5000 0.6670 0.0000
Si 0.5000 0.6670 0.6670
Nd 0.0000 0.6667 0.3333
Nd 0.0000 0.3333 0.6667
Th 0.0000 0.0000 0.0000

Properties
Its space group is P6/mmm, No. 191. For the uncorrected formation energy, the calculation gives -0.5910 eV/atom.

12.
# Nd2Ti3Si4

A relaxed structure of Nd2Ti3Si4 (GGA-PBE, Alexandria via LeMat-Bulk).

a b c (Å): 6.9867 7.1760 7.1596
angles (deg): 90.00 90.00 108.83
Fractional coordinates of all 18 atoms:
Ti 0.2490 0.7397 0.1736
Ti 0.5000 0.5000 0.0000
Ti 0.2510 0.2603 0.6736
Ti 0.0000 0.5000 0.5000
Ti 0.7490 0.7397 0.3264
Ti 0.7510 0.2603 0.8264
Nd 0.9337 0.8135 0.8341
Nd 0.0663 0.1865 0.1659
Nd 0.5663 0.1865 0.3341
Nd 0.4337 0.8135 0.6659
Si 0.1317 0.5015 0.8740
Si 0.3788 0.0903 0.9559
Si 0.6212 0.9097 0.0441
Si 0.8683 0.4985 0.1260
Si 0.3683 0.4985 0.3740
Si 0.8788 0.0903 0.5441
Si 0.6317 0.5015 0.6260
Si 0.1212 0.9097 0.4559

Properties
Its space group is P2_1/c, No. 14. For the uncorrected formation energy, the calculation gives -0.7241 eV/atom.

Computed values of DOS at the Fermi energy (unit: states/eV/f.u.) for the preceding records, in sequence: 9.21; 6.43; 9.58; 3.91; 3.76; 3.68; 6.42; 8.55; 2.95; 8.08; 3.60; 8.93.
Computed values of energy (unit: eV/atom) for the preceding records, in sequence: -5.475; -5.522; -5.274; -5.400; -4.413; -4.144; -6.154; -6.468; -6.245; -5.727; -6.090; -6.826.